1.
DFT (GGA-PBE) results for an optimized crystal structure of BP2ClF.

ΔE_f (raw): 287 kJ/mol of formula units
DOS(E_F): 2.75 states/eV per cell
Energy relative to the lowest polymorph listed for this composition: 0.0 meV per atom

Geometry as POSCAR:
```
BP2ClF
1.0
4.063 0.000 0.000
0.000 4.063 0.000
0.000 0.000 4.412
B P Cl F
1 2 1 1
direct
0.000 0.000 0.000
0.000 0.500 0.000
0.500 0.000 0.000
0.000 0.000 0.500
0.500 0.500 0.500
```


2.
DFT (GGA-PBE) results for an optimized crystal structure of B2PClF.

ΔE_f (raw): 277 kJ/mol of formula units
DOS(E_F): 2.29 states/eV per cell

Geometry as POSCAR:
```
B2PClF
1.0
3.986 0.000 0.000
0.000 3.986 0.000
0.000 0.000 3.900
B P Cl F
2 1 1 1
direct
0.000 0.500 0.000
0.500 0.000 0.000
0.000 0.000 0.000
0.500 0.500 0.500
0.000 0.000 0.500
```


3.
DFT (GGA-PBE) results for an optimized crystal structure of BP2ClF.

ΔE_f (raw): 625 kJ/mol of formula units
DOS(E_F): 4.02 states/eV per cell
Energy relative to the lowest polymorph listed for this composition: 700.1 meV per atom

Geometry as POSCAR:
```
BP2ClF
1.0
4.056 0.000 0.000
0.000 4.056 0.000
0.000 0.000 5.844
B P Cl F
1 2 1 1
direct
0.000 0.000 0.000
0.000 0.500 0.500
0.500 0.000 0.500
0.500 0.500 0.000
0.500 0.500 0.500
```


4.
DFT (GGA-PBE) results for an optimized crystal structure of Rb2BCl6F.

ΔE_f (raw): -876 kJ/mol of formula units
DOS(E_F): 0.00 states/eV per cell

Geometry as POSCAR:
```
Rb2BCl6F
1.0
-3.623 3.623 5.087
3.623 -3.623 5.087
3.623 3.623 -5.087
Rb B Cl F
2 1 6 1
direct
0.250 0.750 0.500
0.750 0.250 0.500
0.000 0.000 0.000
0.194 0.194 0.388
0.194 0.806 0.000
0.299 0.299 0.000
0.701 0.701 0.000
0.806 0.194 0.000
0.806 0.806 0.612
0.500 0.500 0.000
```


5.
DFT (GGA-PBE) results for an optimized crystal structure of Rb2BClF6.

ΔE_f (raw): -2065 kJ/mol of formula units
DOS(E_F): 0.00 states/eV per cell

Geometry as POSCAR:
```
Rb2BClF6
1.0
-3.191 3.191 4.249
3.191 -3.191 4.249
3.191 3.191 -4.249
Rb B Cl F
2 1 1 6
direct
0.250 0.750 0.500
0.750 0.250 0.500
0.000 0.000 0.000
0.500 0.500 0.000
0.167 0.167 0.333
0.167 0.833 0.000
0.278 0.278 0.000
0.722 0.722 0.000
0.833 0.167 0.000
0.833 0.833 0.667
```


6.
DFT (GGA-PBE) results for an optimized crystal structure of BSCl2F.

ΔE_f (raw): 240 kJ/mol of formula units
DOS(E_F): 4.86 states/eV per cell
Energy relative to the lowest polymorph listed for this composition: 0.0 meV per atom

Geometry as POSCAR:
```
BSCl2F
1.0
4.336 0.000 0.000
0.000 4.336 0.000
0.000 0.000 4.044
B S Cl F
1 1 2 1
direct
0.000 0.000 0.000
0.000 0.000 0.500
0.000 0.500 0.000
0.500 0.000 0.000
0.500 0.500 0.500
```


7.
DFT (GGA-PBE) results for an optimized crystal structure of BSCl2F.

ΔE_f (raw): 535 kJ/mol of formula units
DOS(E_F): 3.40 states/eV per cell
Energy relative to the lowest polymorph listed for this composition: 611.2 meV per atom

Geometry as POSCAR:
```
BSCl2F
1.0
5.478 0.000 0.000
0.000 5.478 0.000
0.000 0.000 3.609
B S Cl F
1 1 2 1
direct
0.000 0.000 0.000
0.500 0.500 0.000
0.000 0.500 0.500
0.500 0.000 0.500
0.500 0.500 0.500
```


8.
DFT (GGA-PBE) results for an optimized crystal structure of BSbClF2.

ΔE_f (raw): 274 kJ/mol of formula units
DOS(E_F): 1.96 states/eV per cell

Geometry as POSCAR:
```
BSbClF2
1.0
4.125 0.000 0.000
0.000 4.125 0.000
0.000 0.000 5.418
B Sb Cl F
1 1 1 2
direct
0.000 0.000 0.000
0.500 0.500 0.000
0.500 0.500 0.500
0.000 0.500 0.500
0.500 0.000 0.500
```


9.
DFT (GGA-PBE) results for an optimized crystal structure of SrBClF4.

ΔE_f (raw): -2034 kJ/mol of formula units
DOS(E_F): 0.00 states/eV per cell

Geometry as POSCAR:
```
SrBClF4
1.0
5.060 -3.652 0.000
5.060 3.652 0.000
-1.720 0.000 6.662
Sr B Cl F
2 2 2 8
direct
0.216 0.216 0.159
0.784 0.784 0.841
0.377 0.377 0.745
0.623 0.623 0.255
0.042 0.042 0.765
0.958 0.958 0.235
0.180 0.495 0.843
0.308 0.308 0.540
0.482 0.482 0.233
0.495 0.180 0.843
0.505 0.820 0.157
0.518 0.518 0.767
0.692 0.692 0.460
0.820 0.505 0.157
```


10.
DFT (GGA-PBE) results for an optimized crystal structure of TmBClF6.

ΔE_f (raw): -2211 kJ/mol of formula units
DOS(E_F): 0.53 states/eV per cell

Geometry as POSCAR:
```
TmBClF6
1.0
5.217 0.000 0.000
-2.608 4.518 0.000
0.000 0.000 7.168
Tm B Cl F
1 1 1 6
direct
0.000 0.000 0.000
0.333 0.667 0.000
0.667 0.333 0.500
0.080 0.406 0.132
0.080 0.674 0.868
0.326 0.406 0.868
0.326 0.920 0.132
0.594 0.674 0.132
0.594 0.920 0.868
```


11.
DFT (GGA-PBE) results for an optimized crystal structure of FeB2Cl.

ΔE_f (raw): 391 kJ/mol of formula units
DOS(E_F): 7.57 states/eV per cell
Energy relative to the lowest polymorph listed for this composition: 0.0 meV per atom

Geometry as POSCAR:
```
FeB2Cl
1.0
-2.450 2.450 4.552
2.450 -2.450 4.552
2.450 2.450 -4.552
Fe B Cl
2 4 2
direct
0.000 0.000 0.000
0.750 0.250 0.500
0.058 0.625 0.933
0.375 0.308 0.433
0.692 0.125 0.067
0.875 0.942 0.567
0.250 0.750 0.500
0.500 0.500 0.000
```


12.
DFT (GGA-PBE) results for an optimized crystal structure of FeB2Cl.

ΔE_f (raw): 773 kJ/mol of formula units
DOS(E_F): 3.01 states/eV per cell
Energy relative to the lowest polymorph listed for this composition: 988.9 meV per atom

Geometry as POSCAR:
```
FeB2Cl
1.0
0.000 2.743 2.743
2.743 0.000 2.743
2.743 2.743 0.000
Fe B Cl
1 2 1
direct
0.000 0.000 0.000
0.250 0.250 0.250
0.750 0.750 0.750
0.500 0.500 0.500
```


13.
DFT (GGA-PBE) results for an optimized crystal structure of FeBCl2.

ΔE_f (raw): 326 kJ/mol of formula units
DOS(E_F): 4.68 states/eV per cell
Energy relative to the lowest polymorph listed for this composition: 0.0 meV per atom

Geometry as POSCAR:
```
FeBCl2
1.0
-2.974 2.974 5.091
2.974 -2.974 5.091
2.974 2.974 -5.091
Fe B Cl
2 2 4
direct
0.000 0.000 0.000
0.750 0.250 0.500
0.250 0.750 0.500
0.500 0.500 0.000
0.078 0.625 0.953
0.375 0.328 0.453
0.672 0.125 0.047
0.875 0.922 0.547
```


14.
DFT (GGA-PBE) results for an optimized crystal structure of FeBCl2.

ΔE_f (raw): 377 kJ/mol of formula units
DOS(E_F): 1.32 states/eV per cell
Energy relative to the lowest polymorph listed for this composition: 131.1 meV per atom

Geometry as POSCAR:
```
FeBCl2
1.0
0.000 3.159 3.159
3.159 0.000 3.159
3.159 3.159 0.000
Fe B Cl
1 1 2
direct
0.000 0.000 0.000
0.500 0.500 0.500
0.250 0.250 0.250
0.750 0.750 0.750
```


15.
DFT (GGA-PBE) results for an optimized crystal structure of Fe3BCl.

ΔE_f (raw): 239 kJ/mol of formula units
DOS(E_F): 4.34 states/eV per cell
Energy relative to the lowest polymorph listed for this composition: 0.0 meV per atom

Geometry as POSCAR:
```
Fe3BCl
1.0
3.997 0.000 0.000
0.000 3.997 0.000
0.000 0.000 3.997
Fe B Cl
3 1 1
direct
0.000 0.000 0.500
0.000 0.500 0.000
0.500 0.000 0.000
0.000 0.000 0.000
0.500 0.500 0.500
```


16.
DFT (GGA-PBE) results for an optimized crystal structure of FeBCl2.

ΔE_f (raw): 350 kJ/mol of formula units
DOS(E_F): 2.87 states/eV per cell
Energy relative to the lowest polymorph listed for this composition: 61.4 meV per atom

Geometry as POSCAR:
```
FeBCl2
1.0
1.688 0.975 7.616
-1.688 0.975 7.616
0.000 -1.950 7.616
Fe B Cl
1 1 2
direct
0.000 0.000 0.000
0.500 0.500 0.500
0.096 0.096 0.096
0.904 0.904 0.904
```


17.
DFT (GGA-PBE) results for an optimized crystal structure of FeBCl2.

ΔE_f (raw): 366 kJ/mol of formula units
DOS(E_F): 1.54 states/eV per cell
Energy relative to the lowest polymorph listed for this composition: 103.7 meV per atom

Geometry as POSCAR:
```
FeBCl2
1.0
1.641 0.947 7.969
-1.641 0.947 7.969
0.000 -1.895 7.969
Fe B Cl
1 1 2
direct
0.000 0.000 0.000
0.500 0.500 0.500
0.386 0.386 0.386
0.614 0.614 0.614
```


18.
DFT (GGA-PBE) results for an optimized crystal structure of FeBIr2Cl.

ΔE_f (raw): 924 kJ/mol of formula units
DOS(E_F): 5.73 states/eV per cell
Energy relative to the lowest polymorph listed for this composition: 0.0 meV per atom

Geometry as POSCAR:
```
FeBIr2Cl
1.0
4.527 0.000 0.000
0.000 4.527 0.000
0.000 0.000 3.670
Fe B Ir Cl
1 1 2 1
direct
0.000 0.000 0.000
0.500 0.500 0.000
0.000 0.500 0.500
0.500 0.000 0.500
0.500 0.500 0.500
```


19.
DFT (GGA-PBE) results for an optimized crystal structure of FeBIr2Cl.

ΔE_f (raw): 982 kJ/mol of formula units
DOS(E_F): 3.83 states/eV per cell
Energy relative to the lowest polymorph listed for this composition: 121.6 meV per atom

Geometry as POSCAR:
```
FeBIr2Cl
1.0
4.445 0.000 0.000
0.000 4.445 0.000
0.000 0.000 4.086
Fe B Ir Cl
1 1 2 1
direct
0.000 0.000 0.000
0.500 0.500 0.000
0.000 0.500 0.500
0.500 0.000 0.500
0.000 0.000 0.500
```


20.
DFT (GGA-PBE) results for an optimized crystal structure of KFe2BCl.

ΔE_f (raw): 683 kJ/mol of formula units
DOS(E_F): 4.99 states/eV per cell

Geometry as POSCAR:
```
KFe2BCl
1.0
4.251 0.000 0.000
0.000 4.251 0.000
0.000 0.000 5.366
K Fe B Cl
1 2 1 1
direct
0.000 0.000 0.000
0.000 0.500 0.500
0.500 0.000 0.500
0.500 0.500 0.000
0.500 0.500 0.500
```


Electronic total energy across the listed records, respectively: -18.2, -19.6, -14.7, -30.6, -43.1, -13.9, -10.8, -13.5, -77.6, -47.1, -39.2, -15.7, -30.9, -14.9, -31.4, -15.2, -15.0, -25.1, -24.5, -19.5 eV for the cell shown.